Entry 1:
The following is a PBE calculation of a relaxed structure of La5PmSm3, from the Alexandria database.

Polymorph energy (0 for the lowest one) = 0 meV per atom
ΔE_f = 0.23 eV per atom
Total moment = 0.0 μB/cell

Unit cell a=19.112 b=6.637 c=11.572 alpha=90.00 beta=114.95 gamma=90.00
Space group C2/c (No. 15)
Unique sites:
La  0.000  0.093  0.250
La  0.167  0.193  0.713
La  0.170  0.321  0.362
Pm  0.000  0.368  0.750
Sm  0.000  0.500  0.000
Sm  0.161  0.206  0.015



Entry 2:
The following is a PBE calculation of a relaxed structure of LaPm8Sm4, from the Alexandria database.

ΔE_f = 0.48 eV per atom
Total moment = 3.6 μB/cell

Unit cell a=11.2110 b=11.2110 c=13.8091 alpha=90.00 beta=90.00 gamma=120.00
Space group R-3m (No. 166, hexagonal axes)
Unique sites:
La  0.0000  0.0000  0.0000
Pm  0.0000  0.0000  0.2615
Pm  0.0163  0.5081  0.2472
Sm  0.0000  0.0000  0.5000
Sm  0.0000  0.5000  0.5000



Entry 3:
The following is a PBE calculation of a relaxed structure of La2PmSm, from the Alexandria database.

Polymorph energy (0 for the lowest one) = 0 meV per atom
ΔE_f = 0.01 eV per atom
Total moment = 0.0 μB/cell

Unit cell a=5.236 b=5.236 c=5.160 alpha=90.00 beta=90.00 gamma=90.00
Space group P4/mmm (No. 123)
Unique sites:
La  0.000  0.500  0.000
Pm  0.000  0.000  0.500
Sm  0.500  0.500  0.500



Entry 4:
The following is a PBE calculation of a relaxed structure of LaPm4Sm2, from the Alexandria database.

Polymorph energy (0 for the lowest one) = 0 meV per atom
ΔE_f = 0.04 eV per atom
Total moment = 0.0 μB/cell

Unit cell a=7.200 b=8.807 c=9.097 alpha=114.49 beta=101.38 gamma=101.75
Space group P1 (No. 1)
Unique sites:
La  0.000  0.000  0.000
La  0.307  0.680  0.553
Pm  0.027  0.833  0.280
Pm  0.106  0.558  0.867
Pm  0.387  0.408  0.136
Pm  0.415  0.240  0.416
Pm  0.500  0.002  0.999
Pm  0.607  0.558  0.865
Pm  0.706  0.121  0.706
Pm  0.912  0.241  0.417
Sm  0.208  0.125  0.707
Sm  0.527  0.831  0.276
Sm  0.806  0.678  0.546
Sm  0.884  0.409  0.135



Entry 5:
The following is a PBE calculation of a relaxed structure of La6Pm5Sm2, from the Alexandria database.

ΔE_f = 0.09 eV per atom
Total moment = 0.0 μB/cell

Unit cell a=11.977 b=21.183 c=3.694 alpha=90.00 beta=90.00 gamma=90.00
Space group Pbam (No. 55)
Unique sites:
La  0.061  0.079  0.000
La  0.081  0.367  0.000
La  0.177  0.635  0.500
Pm  0.000  0.500  0.500
Pm  0.090  0.226  0.500
Pm  0.198  0.944  0.500
Sm  0.168  0.788  0.000



Entry 6:
The following is a PBE calculation of a relaxed structure of LaPm5Sm, from the Alexandria database.

Polymorph energy (0 for the lowest one) = 0 meV per atom
ΔE_f = 0.16 eV per atom
Total moment = 0.0 μB/cell

Unit cell a=12.068 b=6.977 c=12.489 alpha=90.00 beta=111.35 gamma=90.00
Space group C2/c (No. 15)
Unique sites:
La  0.000  0.030  0.250
Pm  0.000  0.407  0.750
Pm  0.077  0.273  0.499
Pm  0.219  0.374  0.250
Sm  0.250  0.250  0.000



Entry 7:
The following is a PBE calculation of a relaxed structure of LaPm4Sm6, from the Alexandria database.

Polymorph energy (0 for the lowest one) = 86 meV per atom
ΔE_f = 0.38 eV per atom
Total moment = 0.0 μB/cell

Unit cell a=7.796 b=7.796 c=13.275 alpha=90.00 beta=90.00 gamma=90.00
Space group I-42m (No. 121)
Unique sites:
La  0.000  0.000  0.000
Pm  0.170  0.170  0.423
Sm  0.000  0.500  0.000
Sm  0.241  0.241  0.188



Entry 8:
The following is a PBE calculation of a relaxed structure of La5Pm2Sm3, from the Alexandria database.

ΔE_f = 0.15 eV per atom
Total moment = 0.0 μB/cell

Unit cell a=11.133 b=14.977 c=10.265 alpha=90.00 beta=122.77 gamma=90.00
Space group C2/c (No. 15)
Unique sites:
La  0.000  0.018  0.250
La  0.000  0.225  0.250
La  0.000  0.473  0.750
La  0.246  0.372  0.244
Pm  0.155  0.127  0.061
Sm  0.000  0.268  0.750
Sm  0.153  0.375  0.555



Entry 9:
The following is a PBE calculation of a relaxed structure of La7Pm12Sm, from the Alexandria database.

Polymorph energy (0 for the lowest one) = 0 meV per atom
ΔE_f = 0.21 eV per atom
Total moment = 0.0 μB/cell

Unit cell a=12.7378 b=12.7378 c=15.2526 alpha=90.00 beta=90.00 gamma=120.00
Space group R-3 (No. 148, hexagonal axes)
Unique sites:
La  0.0000  0.0000  0.0000
La  0.0642  0.1937  0.3104
Pm  0.0225  0.4392  0.2238
Pm  0.0661  0.8325  0.8952
Sm  0.0000  0.0000  0.5000



Entry 10:
The following is a PBE calculation of a relaxed structure of La4Pm2Sm, from the Alexandria database.

Polymorph energy (0 for the lowest one) = 134 meV per atom
ΔE_f = 0.15 eV per atom
Total moment = 0.0 μB/cell

Unit cell a=12.102 b=12.103 c=6.820 alpha=90.00 beta=90.00 gamma=90.00
Space group Fmm2 (No. 42)
Unique sites:
La  0.000  0.201  0.000
La  0.200  0.000  0.869
Pm  0.250  0.250  0.185
Sm  0.000  0.000  0.434



Entry 11:
The following is a PBE calculation of a relaxed structure of La5Pm2Sm2, from the Alexandria database.

Polymorph energy (0 for the lowest one) = 0 meV per atom
ΔE_f = 0.02 eV per atom
Total moment = 0.0 μB/cell

Unit cell a=3.701 b=5.235 c=16.908 alpha=81.16 beta=83.84 gamma=89.99
Space group P-1 (No. 2)
Unique sites:
La  0.000  0.000  0.000
La  0.222  0.222  0.556
La  0.443  0.443  0.113
Pm  0.113  0.112  0.776
Sm  0.333  0.334  0.333



Entry 12:
The following is a PBE calculation of a relaxed structure of La2PmSm, from the Alexandria database.

Polymorph energy (0 for the lowest one) = 4 meV per atom
ΔE_f = 0.02 eV per atom
Total moment = 0.0 μB/cell

Unit cell a=3.7058 b=3.7058 c=35.9668 alpha=90.00 beta=90.00 gamma=120.00
Space group R3m (No. 160, hexagonal axes)
Unique sites:
La  0.0000  0.0000  0.0000
La  0.0000  0.0000  0.1656
Pm  0.0000  0.0000  0.5842
Sm  0.0000  0.0000  0.4159



Entry 13:
The following is a PBE calculation of a relaxed structure of LaPmSm2, from the Alexandria database.

Polymorph energy (0 for the lowest one) = 5 meV per atom
ΔE_f = 0.02 eV per atom
Total moment = 0.0 μB/cell

Unit cell a=3.6725 b=3.6725 c=35.8429 alpha=90.00 beta=90.00 gamma=120.00
Space group R3m (No. 160, hexagonal axes)
Unique sites:
La  0.0000  0.0000  0.0000
Pm  0.0000  0.0000  0.1664
Sm  0.0000  0.0000  0.5815
Sm  0.0000  0.0000  0.7513



Entry 14:
The following is a PBE calculation of a relaxed structure of La3Pm8Sm2, from the Alexandria database.

Polymorph energy (0 for the lowest one) = 77 meV per atom
ΔE_f = 0.22 eV per atom
Total moment = 0.0 μB/cell

Unit cell a=20.777 b=7.780 c=5.792 alpha=90.00 beta=90.10 gamma=90.00
Space group C2/m (No. 12)
Unique sites:
La  0.000  0.000  0.000
La  0.000  0.294  0.500
Pm  0.108  0.292  0.001
Pm  0.136  0.000  0.499
Pm  0.174  0.500  0.503
Sm  0.242  0.000  0.997



Entry 15:
The following is a PBE calculation of a relaxed structure of LaPmSm4, from the Alexandria database.

Polymorph energy (0 for the lowest one) = 0 meV per atom
ΔE_f = 0.02 eV per atom
Total moment = 0.0 μB/cell

Unit cell a=6.340 b=10.957 c=6.330 alpha=90.00 beta=109.58 gamma=90.00
Space group C2/m (No. 12)
Unique sites:
La  0.000  0.000  0.000
Pm  0.000  0.500  0.500
Sm  0.000  0.168  0.500
Sm  0.000  0.333  0.000



Entry 16:
The following is a PBE calculation of a relaxed structure of La2PmSm8, from the Alexandria database.

Polymorph energy (0 for the lowest one) = 0 meV per atom
ΔE_f = 0.02 eV per atom
Total moment = 0.0 μB/cell

Unit cell a=18.612 b=5.171 c=8.177 alpha=90.00 beta=105.29 gamma=90.00
Space group C2/m (No. 12)
Unique sites:
La  0.227  0.000  0.137
Pm  0.000  0.500  0.500
Sm  0.044  0.000  0.227
Sm  0.090  0.500  0.954
Sm  0.135  0.000  0.678
Sm  0.181  0.500  0.407



Entry 17:
The following is a PBE calculation of a relaxed structure of La3Pm2Sm3, from the Alexandria database.

Polymorph energy (0 for the lowest one) = 147 meV per atom
ΔE_f = 0.17 eV per atom
Total moment = 0.0 μB/cell

Unit cell a=9.9003 b=9.9003 c=6.7747 alpha=90.00 beta=90.00 gamma=120.00
Space group P6_3/mcm (No. 193)
Unique sites:
La  0.0000  0.2328  0.2500
Pm  0.3333  0.6667  0.0000
Sm  0.0000  0.4071  0.7500



Entry 18:
The following is a PBE calculation of a relaxed structure of La2PmSm5, from the Alexandria database.

ΔE_f = 0.02 eV per atom
Total moment = 0.0 μB/cell

Unit cell a=7.318 b=14.635 c=5.186 alpha=90.00 beta=90.00 gamma=90.00
Space group Pbam (No. 55)
Unique sites:
La  0.250  0.125  0.000
Pm  0.000  0.000  0.500
Sm  0.000  0.250  0.500
Sm  0.000  0.500  0.500
Sm  0.250  0.375  0.000



Entry 19:
The following is a PBE calculation of a relaxed structure of LaPm4Sm4, from the Alexandria database.

Polymorph energy (0 for the lowest one) = 0 meV per atom
ΔE_f = 0.00 eV per atom
Total moment = 0.0 μB/cell

Unit cell a=6.384 b=9.078 c=11.054 alpha=78.19 beta=89.99 gamma=83.20
Space group P-1 (No. 2)
Unique sites:
La  0.249  0.000  0.250
Pm  0.250  0.000  0.583
Pm  0.250  0.000  0.917
Pm  0.360  0.334  0.695
Pm  0.361  0.334  0.362
Sm  0.138  0.666  0.138
Sm  0.138  0.667  0.473
Sm  0.141  0.666  0.806
Sm  0.362  0.334  0.027